*a*
Entry from Alexandria: a relaxed Rb3Sn2Cl7 crystal (PBE).

Geometry as extended XYZ:
```
12
Lattice="5.526 0.000 0.000 0.000 5.665 0.000 0.000 -2.832 13.803" Properties=species:S:1:pos:R:3 pbc="T T T"
Cl 0.000 2.832 2.852
Cl 0.000 0.000 10.951
Cl 0.000 0.000 0.000
Cl 0.000 2.832 8.179
Cl 0.000 0.000 5.624
Cl 2.763 2.832 10.840
Cl 2.763 0.000 2.963
Rb 2.763 2.832 0.000
Rb 2.763 0.000 8.777
Rb 2.763 2.832 5.026
Sn 0.000 0.000 2.925
Sn 0.000 2.832 10.878
```

*b*
Entry from Alexandria: a relaxed Rb3Sn2Cl7 crystal (PBE).

Geometry as extended XYZ:
```
12
Lattice="5.510 0.000 -1.036 -0.195 5.507 -1.036 -0.140 -0.145 14.433" Properties=species:S:1:pos:R:3 pbc="T T T"
Rb 1.605 1.663 8.542
Rb 2.658 2.753 -1.036
Rb 3.570 3.699 3.820
Cl 1.910 4.833 10.162
Cl 0.413 3.282 2.200
Cl 4.157 4.307 6.943
Cl 4.762 2.079 10.162
Cl 3.266 0.529 2.200
Cl 0.000 0.000 0.000
Cl 1.019 1.055 5.419
Sn 4.655 4.822 9.592
Sn 0.521 0.539 2.771
```

Relative stability in meV per atom, measured from the most stable structure: *a* 32; *b* 0